Entry 1:
Compound: MnReW2F
Source: Alexandria via LeMat-Bulk
Functional: PBE with a Hubbard U
Structure: optimized geometry

Output
Density of states at the Fermi level: 2.84 states/eV/cell
Magnetization: 0.0804 μB/atom
Total DFT energy (no corrections): -5.99 eV/atom

```
MnReW2F
1.0
4.996 0.000 0.000
0.000 4.996 0.000
0.000 0.000 3.504
Mn Re W F
1 1 2 1
Cartesian
0.000 0.000 0.000
2.498 2.498 1.752
0.000 2.498 0.000
2.498 0.000 0.000
0.000 0.000 1.752
```

Entry 2:
Compound: Mn2RhF8
Source: Alexandria via LeMat-Bulk
Functional: PBE with a Hubbard U
Structure: optimized geometry

Output
Density of states at the Fermi level: 6.49 states/eV/cell
Magnetization: 0.8162 μB/atom
Total DFT energy (no corrections): -5.51 eV/atom

```
Mn2RhF8
1.0
4.768 -3.458 0.000
4.768 3.458 0.000
-0.124 0.000 4.403
Mn Rh F
2 1 8
Cartesian
1.172 0.000 1.170
8.239 0.000 3.233
4.706 0.000 2.202
0.780 0.000 3.352
3.665 1.386 3.153
3.185 0.000 0.951
5.747 1.386 1.250
3.665 -1.386 3.153
6.227 0.000 3.452
5.747 -1.386 1.250
8.631 0.000 1.051
```

Entry 3:
Compound: MnRhF5
Source: Alexandria via LeMat-Bulk
Functional: PBE with a Hubbard U
Structure: optimized geometry

Output
Magnetization: 0.7155 μB/atom
Total DFT energy (no corrections): -5.44 eV/atom

```
MnRhF5
1.0
4.415 -3.262 0.000
4.415 3.262 0.000
-3.145 0.000 6.834
Mn Rh F
2 2 10
Cartesian
2.056 3.066 5.126
3.629 -3.066 1.709
4.415 0.000 0.000
2.843 0.000 3.417
4.160 1.990 0.215
3.098 1.990 3.202
1.081 0.245 2.505
-0.492 -0.245 5.922
2.056 0.710 5.126
3.629 -0.710 1.709
6.177 0.245 0.912
4.605 -0.245 4.330
2.588 -1.990 3.633
1.525 -1.990 6.619
```

Entry 4:
Compound: MnRh2F8
Source: Alexandria via LeMat-Bulk
Functional: PBE with a Hubbard U
Structure: optimized geometry

Output
Density of states at the Fermi level: 9.66 states/eV/cell
Magnetization: 0.3749 μB/atom
Total DFT energy (no corrections): -5.05 eV/atom

```
MnRh2F8
1.0
4.831 -3.480 0.000
4.831 3.480 0.000
-0.129 0.000 4.341
Mn Rh F
1 2 8
Cartesian
0.000 0.000 0.000
3.576 0.000 3.266
5.957 0.000 1.074
3.651 1.980 3.286
1.624 0.000 3.219
5.882 1.980 1.055
3.875 0.000 1.099
5.658 0.000 3.242
3.651 -1.980 3.286
7.909 0.000 1.121
5.882 -1.980 1.055
```

Entry 5:
Compound: MnRhF2
Source: Alexandria via LeMat-Bulk
Functional: PBE with a Hubbard U
Structure: optimized geometry

Output
Density of states at the Fermi level: 3.46 states/eV/cell
Magnetization: 1.6074 μB/atom
Polymorph energy (0 for the lowest one): 471 meV per atom

```
MnRhF2
1.0
0.000 2.962 2.962
2.962 0.000 2.962
2.962 2.962 0.000
Mn Rh F
1 1 2
Cartesian
0.000 0.000 0.000
2.962 2.962 2.962
1.481 1.481 1.481
4.442 4.442 4.442
```

Entry 6:
Compound: MnRh3F
Source: Alexandria via LeMat-Bulk
Functional: PBE with a Hubbard U
Structure: optimized geometry

Output
Density of states at the Fermi level: 5.29 states/eV/cell
Magnetization: 0.7162 μB/atom
Polymorph energy (0 for the lowest one): 0 meV per atom

```
MnRh3F
1.0
4.252 0.000 0.000
0.000 4.252 0.000
0.000 0.000 4.252
Mn Rh F
1 3 1
Cartesian
0.000 0.000 0.000
0.000 2.126 2.126
2.126 0.000 2.126
2.126 2.126 0.000
2.126 2.126 2.126
```

Entry 7:
Compound: Mn3RhF
Source: Alexandria via LeMat-Bulk
Functional: PBE with a Hubbard U
Structure: optimized geometry

Output
Density of states at the Fermi level: 1.68 states/eV/cell
Magnetization: 2.9037 μB/atom
Polymorph energy (0 for the lowest one): 0 meV per atom

```
Mn3RhF
1.0
4.342 0.000 0.000
0.000 4.342 0.000
0.000 0.000 4.342
Mn Rh F
3 1 1
Cartesian
0.000 0.000 2.171
0.000 2.171 0.000
2.171 0.000 0.000
2.171 2.171 2.171
0.000 0.000 0.000
```

Entry 8:
Compound: MnRhF3
Source: Alexandria via LeMat-Bulk
Functional: PBE with a Hubbard U
Structure: optimized geometry

Output
Density of states at the Fermi level: 4.13 states/eV/cell
Magnetization: 1.1556 μB/atom
Polymorph energy (0 for the lowest one): 346 meV per atom

```
MnRhF3
1.0
4.255 0.000 0.000
0.000 4.255 0.000
0.000 0.000 4.255
Mn Rh F
1 1 3
Cartesian
0.000 0.000 0.000
2.127 2.127 2.127
0.000 2.127 2.127
2.127 0.000 2.127
2.127 2.127 0.000
```

Entry 9:
Compound: MnRh2F
Source: Alexandria via LeMat-Bulk
Functional: PBE with a Hubbard U
Structure: optimized geometry

Output
Density of states at the Fermi level: 5.94 states/eV/cell
Magnetization: 0.7009 μB/atom
Polymorph energy (0 for the lowest one): 0 meV per atom

```
MnRh2F
1.0
0.000 3.038 3.038
3.038 0.000 3.038
3.038 3.038 0.000
Mn Rh F
1 2 1
Cartesian
0.000 0.000 0.000
1.519 1.519 1.519
4.556 4.556 4.556
3.038 3.038 3.038
```

Entry 10:
Compound: MnRhF3
Source: Alexandria via LeMat-Bulk
Functional: PBE with a Hubbard U
Structure: optimized geometry

Output
Density of states at the Fermi level: 6.53 states/eV/cell
Magnetization: 1.3995 μB/atom
Polymorph energy (0 for the lowest one): 0 meV per atom

```
MnRhF3
1.0
4.189 0.000 0.000
0.000 4.189 0.000
0.000 0.000 4.189
Mn Rh F
1 1 3
Cartesian
0.000 0.000 0.000
2.094 2.094 2.094
0.000 0.000 2.094
0.000 2.094 0.000
2.094 0.000 0.000
```

Entry 11:
Compound: MnRhF6
Source: Alexandria via LeMat-Bulk
Functional: PBE with a Hubbard U
Structure: optimized geometry

Output
Density of states at the Fermi level: 7.19 states/eV/cell
Magnetization: 0.4980 μB/atom
Total DFT energy (no corrections): -5.21 eV/atom

```
MnRhF6
1.0
4.987 0.000 0.000
-2.493 4.319 0.000
0.000 0.000 4.754
Mn Rh F
1 1 6
Cartesian
0.000 0.000 0.000
2.493 1.440 2.377
1.695 0.061 3.529
0.900 1.438 1.224
3.291 0.061 1.224
1.698 2.820 3.529
4.087 1.438 3.529
3.289 2.820 1.224
```

Entry 12:
Compound: Mn3RhF
Source: Alexandria via LeMat-Bulk
Functional: PBE with a Hubbard U
Structure: optimized geometry

Output
Density of states at the Fermi level: 2.63 states/eV/cell
Magnetization: 3.0266 μB/atom
Polymorph energy (0 for the lowest one): 461 meV per atom

```
Mn3RhF
1.0
4.974 0.000 0.000
0.000 4.974 0.000
0.000 0.000 4.974
Mn Rh F
3 1 1
Cartesian
0.000 0.000 2.487
0.000 2.487 0.000
2.487 0.000 0.000
0.000 0.000 0.000
2.487 2.487 2.487
```